First-principles (PBE) data for crystalline NaScIn2 at its relaxed geometry, as listed in the Alexandria database.

Cell lengths 5.311, 5.311, 3.364 Å; angles 90.00, 90.00, 90.00 degrees
Sites, in units of the cell vectors:
1 Na 0.000 0.000 0.000
2 Sc 0.500 0.500 0.000
3 In 0.000 0.500 0.500
4 In 0.500 0.000 0.500

Summary:
E above lowest polymorph (eV/atom): 0.0000
Mass density (g cm⁻³): 5.209

First-principles (PBE) data for crystalline NaScIn at its relaxed geometry, as listed in the Alexandria database.

Cell lengths 16.625, 3.323, 3.323 Å; angles 61.33, 90.00, 90.00 degrees
Sites, in units of the cell vectors:
1 Na 0.171 0.000 0.000
2 Na 0.829 0.000 0.000
3 Sc 0.352 0.355 0.355
4 Sc 0.648 0.355 0.355
5 In 0.000 0.338 0.338
6 In 0.500 0.017 0.017

Summary:
Uncorrected energy (eV/atom): -3.44
Mass density (g cm⁻³): 3.768

First-principles (PBE) data for crystalline NaSc5In6 at its relaxed geometry, as listed in the Alexandria database.

Cell lengths 8.780, 8.780, 8.780 Å; angles 146.48, 132.16, 59.67 degrees
Sites, in units of the cell vectors:
1 Na 0.000 0.000 0.000
2 Sc 0.162 0.662 0.500
3 Sc 0.334 0.334 0.000
4 Sc 0.500 0.000 0.500
5 Sc 0.666 0.666 0.000
6 Sc 0.838 0.338 0.500
7 In 0.084 0.832 0.252
8 In 0.254 0.500 0.754
9 In 0.420 0.168 0.252
10 In 0.580 0.832 0.748
11 In 0.746 0.500 0.246
12 In 0.916 0.168 0.748

Summary:
Uncorrected energy (eV/atom): -4.47
Mass density (g cm⁻³): 5.665

First-principles (PBE) data for crystalline NaSc2In2 at its relaxed geometry, as listed in the Alexandria database.

Cell lengths 8.550, 8.550, 3.439 Å; angles 90.00, 90.00, 90.00 degrees
Sites, in units of the cell vectors:
1 Na 0.000 0.000 0.000
2 Na 0.500 0.500 0.000
3 Sc 0.171 0.329 0.500
4 Sc 0.329 0.829 0.500
5 Sc 0.671 0.171 0.500
6 Sc 0.829 0.671 0.500
7 In 0.127 0.627 0.000
8 In 0.373 0.127 0.000
9 In 0.627 0.873 0.000
10 In 0.873 0.373 0.000

Summary:
E above lowest polymorph (eV/atom): 0.0213
Mass density (g cm⁻³): 4.525

First-principles (PBE) data for crystalline NaScIn2 at its relaxed geometry, as listed in the Alexandria database.

Cell lengths 5.127, 5.127, 5.127 Å; angles 60.00, 60.00, 60.00 degrees
Sites, in units of the cell vectors:
1 Na 0.000 0.000 0.000
2 Sc 0.500 0.500 0.500
3 In 0.250 0.250 0.250
4 In 0.750 0.750 0.750

Summary:
E above lowest polymorph (eV/atom): 0.0518
Mass density (g cm⁻³): 5.185

First-principles (PBE) data for crystalline Na3ScIn at its relaxed geometry, as listed in the Alexandria database.

Cell lengths 5.696, 5.696, 5.696 Å; angles 90.00, 90.00, 90.00 degrees
Sites, in units of the cell vectors:
1 Na 0.000 0.000 0.500
2 Na 0.000 0.500 0.000
3 Na 0.500 0.000 0.000
4 Sc 0.500 0.500 0.500
5 In 0.000 0.000 0.000

Summary:
E above lowest polymorph (eV/atom): 0.0000
Mass density (g cm⁻³): 2.055

Which of these has the lowest mass density? Na3ScIn